1.
NaCd2OsO6 | PBE | relaxed

Values from the calculation:
The calculation puts the spin magnetization at 0.3 μB/f.u. Its crystal system is monoclinic. The uncorrected formation energy is -10.95 eV per formula unit.

Cell lengths 5.6391, 5.6812, 8.2166 Å; angles 90.00, 90.46, 90.00 degrees
Last column: nearest neighbours and their distance in Å.
Fractional coordinates of all 20 atoms:
O (0.7946, 0.8449, 0.5372)  1 Os 1.90
O (0.2054, 0.1551, 0.4628)  1 Os 1.90
O (0.3947, 0.9113, 0.7158)  1 Os 1.94
O (0.7054, 0.3449, 0.9628)  1 Os 1.90
O (0.1053, 0.4113, 0.7842)  1 Os 1.94
O (0.6352, 0.2780, 0.5831)  1 Os 1.88
O (0.3648, 0.7220, 0.4169)  1 Os 1.88
O (0.8648, 0.7780, 0.9169)  1 Os 1.88
O (0.1352, 0.2220, 0.0831)  1 Os 1.88
O (0.2946, 0.6551, 0.0372)  1 Os 1.90
O (0.6053, 0.0887, 0.2842)  1 Os 1.94
O (0.8947, 0.5887, 0.2158)  1 Os 1.94
Na (0.0000, 0.5000, 0.5000)  6 O 2.30-2.51
Na (0.5000, 0.0000, 0.0000)  6 O 2.30-2.51
Cd (0.5060, 0.4638, 0.2330)  4 O 2.24-2.31
Cd (0.0060, 0.0362, 0.7330)  4 O 2.24-2.31
Cd (0.4940, 0.5362, 0.7670)  4 O 2.24-2.31
Cd (0.9940, 0.9638, 0.2670)  4 O 2.24-2.31
Os (0.5000, 0.0000, 0.5000)  6 O 1.88-1.94
Os (0.0000, 0.5000, 0.0000)  6 O 1.88-1.94

***

2.
Na2CdOsO6 | PBE | relaxed

Values from the calculation:
The calculation puts the spin magnetization at 0.0 μB/f.u. Its crystal system is monoclinic. The uncorrected formation energy is -12.06 eV per formula unit.

Cell lengths 5.5734, 5.7529, 7.9771 Å; angles 90.00, 90.16, 90.00 degrees
Last column: nearest neighbours and their distance in Å.
Fractional coordinates of all 20 atoms:
O (0.7266, 0.3235, 0.9513)  1 Os 1.87
O (0.2266, 0.1765, 0.4513)  1 Os 1.87
O (0.2734, 0.6765, 0.0487)  1 Os 1.87
O (0.6667, 0.2707, 0.5605)  1 Os 1.88
O (0.1667, 0.2293, 0.0605)  1 Os 1.88
O (0.8333, 0.7707, 0.9395)  1 Os 1.88
O (0.7734, 0.8235, 0.5487)  1 Os 1.87
O (0.1038, 0.4627, 0.7778)  1 Os 1.88
O (0.8962, 0.5373, 0.2222)  1 Os 1.88
O (0.3333, 0.7293, 0.4395)  1 Os 1.88
O (0.3962, 0.9627, 0.7222)  1 Os 1.88
O (0.6038, 0.0373, 0.2778)  1 Os 1.88
Na (0.9865, 0.0514, 0.7484)  4 O 2.35-2.47
Na (0.5135, 0.5514, 0.7516)  4 O 2.35-2.47
Na (0.4865, 0.4486, 0.2484)  4 O 2.35-2.47
Na (0.0135, 0.9486, 0.2516)  4 O 2.35-2.47
Os (0.0000, 0.5000, 0.0000)  6 O 1.87-1.88
Os (0.5000, 0.0000, 0.5000)  6 O 1.87-1.88
Cd (0.0000, 0.5000, 0.5000)  6 O 2.28-2.33
Cd (0.5000, 0.0000, 0.0000)  6 O 2.28-2.33

***

3.
Na2CdOsO4 | PBE | relaxed

Values from the calculation:
The calculation puts the spin magnetization at 2.0 μB/f.u. Its crystal system is tetragonal. The uncorrected formation energy is -8.84 eV per formula unit.

Cell lengths 5.3467, 5.3467, 5.3467 Å; angles 101.61, 113.54, 113.54 degrees
Last column: nearest neighbours and their distance in Å.
Fractional coordinates of all 8 atoms:
Os (0.0000, 0.5000, 0.5000)  4 O 1.91
O (0.4445, 0.7941, 0.6769)  1 Os 1.91
O (0.5555, 0.2325, 0.3496)  1 Os 1.91
O (0.1171, 0.3231, 0.7675)  1 Os 1.91
O (0.8829, 0.6504, 0.2059)  1 Os 1.91
Cd (0.5000, 0.2500, 0.7500)  4 O 2.26
Na (0.0000, 0.0000, 0.0000)  4 O 2.35
Na (0.5000, 0.7500, 0.2500)  4 O 2.39

***

4.
NaCdPO2 | PBE | relaxed

Values from the calculation:
The calculation puts the spin magnetization at 3.3 μB/f.u. Its crystal system is tetragonal. The uncorrected formation energy is 1.20 eV per formula unit.

Cell lengths 4.3761, 4.3761, 5.1139 Å; angles 90.00, 90.00, 90.00 degrees
Last column: nearest neighbours and their distance in Å.
Fractional coordinates of all 5 atoms:
O (0.0000, 0.5000, 0.0000)  2 Cd 2.19
O (0.5000, 0.0000, 0.0000)  2 Cd 2.19
P (0.0000, 0.0000, 0.5000)  2 Cd 2.56
Cd (0.0000, 0.0000, 0.0000)  4 O 2.19
Na (0.5000, 0.5000, 0.5000)  4 P 3.09, 8 O 3.37

***

5.
NaCd2PO4 | PBE | relaxed

Values from the calculation:
The calculation puts the spin magnetization at 0.0 μB/f.u. Its crystal system is monoclinic. The uncorrected formation energy is -13.38 eV per formula unit.

Cell lengths 5.5268, 5.5268, 5.3460 Å; angles 107.09, 107.09, 69.98 degrees
Last column: nearest neighbours and their distance in Å.
Fractional coordinates of all 8 atoms:
Na (0.1682, 0.1682, 0.9031)  4 O 2.24-2.45
P (0.5209, 0.5209, 0.0397)  4 O 1.54-1.59
Cd (0.0891, 0.6669, 0.4500)  3 O 2.28-2.44
Cd (0.6669, 0.0891, 0.4500)  3 O 2.28-2.44
O (0.3913, 0.3913, 0.7459)  1 P 1.59
O (0.4235, 0.4235, 0.2345)  1 P 1.59
O (0.8237, 0.4168, 0.0887)  1 P 1.54
O (0.4168, 0.8237, 0.0887)  1 P 1.54

***

6.
Na2CdP2O6 | PBE | relaxed

Values from the calculation:
The calculation puts the spin magnetization at 0.0 μB/f.u. Its crystal system is monoclinic. The uncorrected formation energy is -21.56 eV per formula unit.

Cell lengths 5.6357, 5.5999, 6.4060 Å; angles 118.11, 90.00, 120.21 degrees
Last column: nearest neighbours and their distance in Å.
Fractional coordinates of all 11 atoms:
P (0.0278, 0.0557, 0.1900)  3 O 1.53-1.55
P (0.9722, 0.9443, 0.8100)  3 O 1.53-1.55
O (0.2869, 0.1196, 0.8007)  1 P 1.55
O (0.7131, 0.8804, 0.1993)  1 P 1.55
O (0.7857, 0.5714, 0.6202)  1 P 1.53
O (0.8327, 0.1196, 0.8007)  1 P 1.55
O (0.1673, 0.8804, 0.1993)  1 P 1.55
O (0.2143, 0.4286, 0.3798)  1 P 1.53
Cd (0.5000, 0.0000, 0.5000)  6 O 2.28-2.43
Na (0.7108, 0.4215, 0.1787)  5 O 2.50-2.55
Na (0.2892, 0.5785, 0.8213)  5 O 2.50-2.55

***

7.
NaCdP2O | PBE | relaxed

Values from the calculation:
The calculation puts the spin magnetization at 0.0 μB/f.u. Its crystal system is tetragonal. The uncorrected formation energy is 4.90 eV per formula unit.

Cell lengths 5.0359, 5.0359, 3.9400 Å; angles 90.00, 90.00, 90.00 degrees
Last column: nearest neighbours and their distance in Å.
Fractional coordinates of all 5 atoms:
Na (0.0000, 0.0000, 0.0000)  2 O 1.97
P (0.5000, 0.0000, 0.0000)  2 Na 2.52
P (0.0000, 0.5000, 0.0000)  2 Na 2.52
Cd (0.5000, 0.5000, 0.5000)  8 P 3.20, 4 O 3.56
O (0.0000, 0.0000, 0.5000)  2 Na 1.97

***

8.
Na2CdPO4 | PBE | relaxed

Values from the calculation:
The calculation puts the spin magnetization at 0.0 μB/f.u. Its crystal system is tetragonal. The uncorrected formation energy is -13.97 eV per formula unit.

Cell lengths 5.3596, 5.3596, 5.3596 Å; angles 103.77, 112.39, 112.39 degrees
Last column: nearest neighbours and their distance in Å.
Fractional coordinates of all 8 atoms:
O (0.0190, 0.5242, 0.2205)  1 P 1.57
O (0.3036, 0.7795, 0.7985)  1 P 1.57
O (0.9810, 0.2015, 0.5051)  1 P 1.57
O (0.6964, 0.4949, 0.4758)  1 P 1.57
Cd (0.5000, 0.2500, 0.7500)  4 O 2.46
P (0.0000, 0.5000, 0.5000)  4 O 1.57
Na (0.0000, 0.0000, 0.0000)  4 O 2.72
Na (0.5000, 0.7500, 0.2500)  4 O 2.31

***

9.
Na2Cd3P4O14 | PBE | relaxed

Values from the calculation:
The calculation puts the spin magnetization at 0.0 μB/f.u. Its crystal system is triclinic. The uncorrected formation energy is -46.09 eV per formula unit.

Cell lengths 5.7472, 7.1622, 7.9741 Å; angles 77.09, 82.45, 68.28 degrees
Last column: nearest neighbours and their distance in Å.
Fractional coordinates of all 23 atoms:
O (0.6271, 0.2391, 0.8543)  1 P 1.56
O (0.3729, 0.7609, 0.1457)  1 P 1.56
O (0.6831, 0.6991, 0.8842)  1 P 1.51
O (0.1880, 0.2369, 0.8439)  1 P 1.55
O (0.4510, 0.7363, 0.5766)  1 P 1.54
O (0.0605, 0.6540, 0.5608)  1 P 1.55
O (0.8120, 0.7631, 0.1561)  1 P 1.55
O (0.7440, 0.4313, 0.1501)  2 P 1.61-1.63
O (0.5490, 0.2637, 0.4234)  1 P 1.54
O (0.2560, 0.5687, 0.8499)  2 P 1.61-1.63
O (0.3169, 0.3009, 0.1158)  1 P 1.51
O (0.9633, 0.0695, 0.2744)  1 P 1.52
O (0.9395, 0.3460, 0.4392)  1 P 1.55
O (0.0367, 0.9305, 0.7256)  1 P 1.52
P (0.8000, 0.2685, 0.3324)  4 O 1.52-1.63
P (0.6515, 0.6740, 0.0781)  4 O 1.51-1.61
P (0.3485, 0.3260, 0.9219)  4 O 1.51-1.61
P (0.2000, 0.7315, 0.6676)  4 O 1.52-1.63
Cd (0.8111, 0.4676, 0.6942)  6 O 2.31-2.45
Cd (0.1889, 0.5324, 0.3058)  6 O 2.31-2.45
Cd (0.0000, 0.0000, 0.0000)  6 O 2.32-2.43
Na (0.4076, 0.9935, 0.3169)  4 O 2.34-2.46
Na (0.5924, 0.0065, 0.6831)  4 O 2.34-2.46